First-principles (PBE-GGA) data for a relaxed La2CeScSb4 crystal, as listed in Alexandria.

abc: 7.749 4.493 7.769
angles: 90.00 109.51 90.00
Space group P2/m (No. 10)
Inequivalent atoms, fractional coordinates:
1 La 0.000 0.000 0.000
2 La 0.500 0.500 0.000
3 Ce 0.000 0.500 0.500
4 Sc 0.500 0.000 0.500
5 Sb 0.254 0.000 0.735
6 Sb 0.266 0.500 0.272

***

First-principles (PBE-GGA) data for a relaxed LaCe2ScSb4 crystal, as listed in Alexandria.

abc: 7.711 4.461 7.721
angles: 90.00 109.46 90.00
Space group P2/m (No. 10)
Inequivalent atoms, fractional coordinates:
1 La 0.000 0.000 0.000
2 Ce 0.000 0.500 0.500
3 Ce 0.500 0.000 0.500
4 Sc 0.500 0.500 0.000
5 Sb 0.263 0.500 0.248
6 Sb 0.267 0.000 0.761

***

First-principles (PBE-GGA) data for a relaxed La2Ce3SmSb6 crystal, as listed in Alexandria.

abc: 7.860 13.614 7.869
angles: 90.00 109.46 90.00
Space group C2/m (No. 12)
Inequivalent atoms, fractional coordinates:
1 La 0.000 0.166 0.000
2 Ce 0.000 0.000 0.500
3 Ce 0.000 0.332 0.500
4 Sm 0.000 0.500 0.000
5 Sb 0.243 0.500 0.744
6 Sb 0.249 0.335 0.254

***

| no. | volume (Å³/f.u.) | N(E_F) (states/eV/f.u.) | uncorrected formation energy (meV/atom) |
| --- | --- | --- | --- |
| 1 | 254.9 | 7.01 | -1105.8 |
| 2 | 250.4 | 13.38 | -1039.8 |
| 3 | 397.0 | 19.82 | -1142.8 |